A relaxed ScCd2AuSe crystal. Source: Alexandria, functional PBE-GGA.

Cell lengths 5.1651, 5.2253, 5.1651 Å; angles 90.00, 90.00, 90.00 degrees
Element x y z (fractional)
Cd 0.0000 0.0000 0.5000
Cd 0.5000 0.0000 0.0000
Sc 0.0000 0.5000 0.0000
Se 0.5000 0.5000 0.5000
Au 0.0000 0.0000 0.0000

As for the uncorrected formation energy: -0.0387 eV per atom.